Record 1
This record from the Alexandria database describes a relaxed structure of CoPt5Rh2. The functional is PBE.

DOS(E_F) = 13.08 states/eV/cell
E = -6.53 eV per atom
ΔH_f (0 K) = -29 meV/atom

```
8
Lattice="4.2987 0.7562 -1.9386 0.1443 4.3623 -1.9386 -0.4226 -0.4869 6.7359" Properties=species:S:1:pos:R:3 pbc="T T T"
Pt 3.5003 1.9345 2.6335
Pt 0.5201 2.6972 0.2253
Pt 2.2215 2.5593 -1.9386
Pt 1.4231 3.7375 2.6335
Pt 2.5973 0.8942 0.2253
Co 0.0000 0.0000 0.0000
Rh 3.1271 3.6025 0.4764
Rh 0.8933 1.0291 2.3823
```

Record 2
This record from the Alexandria database describes a relaxed structure of CoPtRh. The functional is PBE.

DOS(E_F) = 8.80 states/eV/cell
E = -6.86 eV per atom
ΔH_f (0 K) = -31 meV/atom

```
6
Lattice="-2.5644 0.8516 0.2877 -1.6892 -3.9552 -3.3320 -0.6273 -6.8077 1.7411" Properties=species:S:1:pos:R:3 pbc="T T T"
Co -3.2664 -3.4556 0.3775
Co -1.6145 -6.4556 -1.6806
Pt -2.6392 -6.0125 0.7088
Pt -2.2418 -3.8988 -2.0120
Rh -3.4927 -8.0380 -0.8993
Rh -1.3883 -1.8732 -0.4038
```

Record 3
This record from the Alexandria database describes a relaxed structure of CoPt2Rh. The functional is PBE.

DOS(E_F) = 8.46 states/eV/cell
E = -6.45 eV per atom
ΔH_f (0 K) = 182 meV/atom

```
4
Lattice="-2.1591 -3.4922 -1.4834 1.7530 -2.4804 -3.1356 1.4349 -4.0146 0.9390" Properties=species:S:1:pos:R:3 pbc="T T T"
Rh 0.7716 -7.4904 -2.7601
Pt 0.2572 -2.4968 -0.9200
Pt 0.0000 0.0000 0.0000
Co 0.5144 -4.9936 -1.8401
```

Record 4
This record from the Alexandria database describes a relaxed structure of CoPt4Rh. The functional is PBE.

DOS(E_F) = 8.92 states/eV/cell
E = -6.36 eV per atom
ΔH_f (0 K) = 77 meV/atom

```
6
Lattice="2.7197 0.0000 0.0000 1.3598 4.3452 0.0127 1.3598 0.5126 7.7777" Properties=species:S:1:pos:R:3 pbc="T T T"
Rh 2.7197 2.4289 3.8952
Pt 2.7197 2.4434 6.6137
Pt 1.3598 0.4516 5.1585
Pt 4.0795 4.4062 2.6319
Pt 2.7197 2.4144 1.1767
Co 0.0000 0.0000 0.0000
```

Record 5
This record from the Alexandria database describes a relaxed structure of Co2PtRh3. The functional is PBE.

DOS(E_F) = 18.62 states/eV/cell
E = -7.02 eV per atom
ΔH_f (0 K) = 31 meV/atom

```
12
Lattice="-1.4295 -2.2024 0.6424 -0.1292 -0.3116 -7.0432 7.3379 -4.7409 0.0752" Properties=species:S:1:pos:R:3 pbc="T T T"
Pt 1.4649 -1.8039 -2.9249
Pt 4.3143 -5.4510 -3.4009
Co 0.0000 0.0000 0.0000
Co 4.7506 -4.8161 -5.9405
Co 1.0287 -2.4389 -0.3852
Co 3.6690 -2.3705 0.0376
Rh 5.3292 -3.8474 -1.3317
Rh 0.4501 -3.4075 -4.9940
Rh 2.6935 -3.9226 -1.7673
Rh -0.5708 -0.9699 -4.5958
Rh 3.0858 -3.3324 -4.5584
Rh 6.3500 -6.2850 -1.7299
```

Record 6
This record from the Alexandria database describes a relaxed structure of CoPt2Rh3. The functional is PBE.

DOS(E_F) = 8.44 states/eV/cell
E = -6.87 eV per atom
ΔH_f (0 K) = 3 meV/atom

```
6
Lattice="-1.1034 -1.1046 -2.2335 -2.0009 -3.3666 2.6534 -5.1707 3.8382 2.3185" Properties=species:S:1:pos:R:3 pbc="T T T"
Pt -5.6647 -0.7605 3.1743
Pt -2.6102 0.1275 -0.4359
Rh -5.1791 0.3548 0.7203
Rh -1.5521 -2.2356 0.2099
Rh -3.0959 -0.9878 2.0180
Co 0.0000 0.0000 0.0000
```

Record 7
This record from the Alexandria database describes a relaxed structure of CoPtRh4. The functional is PBE.

DOS(E_F) = 20.39 states/eV/cell
E = -6.55 eV per atom
ΔH_f (0 K) = 537 meV/atom

```
12
Lattice="4.2696 0.0000 0.0000 0.0000 7.4221 0.0000 -2.1348 0.0000 6.0344" Properties=species:S:1:pos:R:3 pbc="T T T"
Rh 2.1348 6.7926 3.2319
Rh 0.0000 0.0000 0.0000
Rh 0.0000 0.6295 2.8024
Rh 0.0000 3.7111 0.0000
Rh 0.0000 1.8555 5.5019
Rh 2.1348 5.5666 0.5324
Rh 0.0000 3.0815 2.8024
Rh 2.1348 4.3406 3.2319
Pt 0.0000 5.5666 1.8789
Pt 2.1348 1.8555 4.1554
Co 2.1348 1.8555 1.7232
Co 0.0000 5.5666 4.3112
```

Record 8
This record from the Alexandria database describes a relaxed structure of Co5Pt6Rh. The functional is PBE.

DOS(E_F) = 16.16 states/eV/cell
E = -6.67 eV per atom
ΔH_f (0 K) = -80 meV/atom

```
12
Lattice="3.6727 0.0130 -1.0704 -1.0321 6.6430 -3.4608 0.0786 -0.5928 7.0986" Properties=species:S:1:pos:R:3 pbc="T T T"
Co -0.5161 3.3215 -1.7304
Co 0.4147 5.1413 1.4852
Co 2.3045 0.9219 1.0822
Co 1.7933 4.2529 -0.6312
Co 0.9258 1.8103 3.1987
Pt 1.0719 4.9268 -3.0985
Pt 3.0181 0.1966 3.5222
Pt 0.2064 2.6135 0.7401
Pt 1.5686 1.7292 -1.4327
Pt -0.2989 5.8666 -0.9547
Pt 2.5128 3.4497 1.8274
Rh 0.0000 0.0000 0.0000
```

Record 9
This record from the Alexandria database describes a relaxed structure of CoPt2Rh6. The functional is PBE.

DOS(E_F) = 12.68 states/eV/cell
E = -7.04 eV per atom
ΔH_f (0 K) = -9 meV/atom

```
9
Lattice="3.6880 0.0000 -1.1029 -0.5813 5.7298 -1.9439 -0.1920 0.1136 6.0756" Properties=species:S:1:pos:R:3 pbc="T T T"
Rh 2.0954 4.7910 0.2892
Rh 0.2559 2.8882 0.8556
Rh 2.1170 1.0197 0.3615
Rh 2.6588 2.9551 2.1733
Rh 0.8193 1.0524 2.7397
Rh 0.7977 4.8236 2.6674
Co 1.5533 2.8649 -1.5234
Pt 3.2127 1.0911 4.0257
Pt -0.2981 4.7523 -0.9968
```

Record 10
This record from the Alexandria database describes a relaxed structure of CoPt2Rh3. The functional is PBE.

DOS(E_F) = 18.74 states/eV/cell
E = -6.69 eV per atom
ΔH_f (0 K) = 185 meV/atom

```
12
Lattice="4.1100 0.0000 0.0000 0.0000 8.1747 0.0000 0.0000 0.0000 5.3020" Properties=species:S:1:pos:R:3 pbc="T T T"
Pt 2.0550 7.0085 1.3546
Pt 0.0000 5.2535 4.0056
Pt 0.0000 2.9212 1.2964
Pt 2.0550 1.1661 3.9474
Rh 2.0550 6.7694 3.9800
Rh 0.0000 5.4927 1.3290
Rh 2.0550 4.0873 2.6510
Rh 0.0000 0.0000 0.0000
Rh 0.0000 2.6820 3.9731
Rh 2.0550 1.4053 1.3221
Co 2.0550 4.0873 0.0000
Co 0.0000 0.0000 2.6510
```

Record 11
This record from the Alexandria database describes a relaxed structure of Co2Pt8Rh3. The functional is PBE.

DOS(E_F) = 19.27 states/eV/cell
E = -6.35 eV per atom
ΔH_f (0 K) = 157 meV/atom

```
13
Lattice="-0.7607 3.8234 1.8426 -6.3545 1.2730 -5.2650 -0.5704 -1.7283 6.8917" Properties=species:S:1:pos:R:3 pbc="T T T"
Pt -6.3754 2.0410 -2.0006
Pt -3.8456 2.0956 5.1481
Pt -2.9515 1.3550 0.8364
Pt -5.6430 0.3209 0.2672
Pt -1.3102 1.3272 5.4698
Pt -3.8400 1.2726 -1.6788
Pt -4.7341 2.0131 2.6329
Pt -2.0426 3.0473 3.2021
Co -2.6590 0.6278 3.3610
Co -5.0266 2.7404 0.1083
Rh -4.9796 0.9976 -4.1259
Rh -1.3749 0.2754 -1.1391
Rh -0.3804 1.9117 0.9213
```

Record 12
This record from the Alexandria database describes a relaxed structure of CoPt2Rh. The functional is PBE.

DOS(E_F) = 5.02 states/eV/cell
E = -6.67 eV per atom
ΔH_f (0 K) = -37 meV/atom

```
4
Lattice="9.0550 0.0202 0.0119 8.6391 2.7130 0.0119 8.6391 1.3345 2.3621" Properties=species:S:1:pos:R:3 pbc="T T T"
Pt 0.1084 0.0167 0.0098
Pt 13.0581 2.0171 1.1831
Rh 6.5833 1.0169 0.5965
Co 19.7498 3.0507 1.7894
```